A plane-wave DFT calculation with GGA+U was carried out for a geometry-optimized SrAgMoF6 structure.

The space group is P4_2nm (No. 102) and the conventional cell measures 5.385, 5.385 and 10.994 Å, with angles of 90.00, 90.00 and 90.00 degrees. Symmetry generates all atoms from Sr at (0.000, 0.000, 0.000), Ag at (0.000, 0.000, 0.328), Mo at (0.000, 0.000, 0.665), F at (0.179, 0.179, 0.812), F at (0.184, 0.184, 0.521) and F at (0.223, 0.223, 0.159).

The value obtained for the density of states at the Fermi level is 0.0 states/eV per cell. Its total energy is -93.957 eV/cell. Its crystal system is tetragonal.